one) Material: CaRhS2
Method: DFT, PBE
State: relaxed

Summary:
For the density, the calculation gives 3.773 Mg/m³.

```
CaRhS2
1.0
2.1397 0.0000 7.6628
-1.0699 1.8531 7.6628
-1.0699 -1.8531 7.6628
Ca Rh S
1 1 2
direct
0.0000 0.0000 0.0000 Ca
0.5000 0.5000 0.5000 Rh
0.8825 0.8825 0.8825 S
0.1175 0.1175 0.1175 S
```

=====

two) Material: CaRhS2
Method: DFT, PBE
State: relaxed

Summary:
For the density, the calculation gives 4.965 Mg/m³.

```
CaRhS2
1.0
0.0000 3.2596 3.2596
3.2596 0.0000 3.2596
3.2596 3.2596 0.0000
Ca Rh S
1 1 2
direct
0.0000 0.0000 0.0000 Ca
0.5000 0.5000 0.5000 Rh
0.2500 0.2500 0.2500 S
0.7500 0.7500 0.7500 S
```

=====

three) Material: CaRhS2
Method: DFT, PBE
State: relaxed

Summary:
For the density, the calculation gives 3.618 Mg/m³.

```
CaRhS2
1.0
-0.7011 4.8549 -2.5959
1.2203 -2.4147 -4.8456
-5.7120 -0.0958 -4.5688
Ca Rh S
2 2 4
direct
0.5000 0.5000 0.0000 Ca
0.2500 0.7500 0.5000 Ca
0.0000 0.0000 0.0000 Rh
0.7500 0.2500 0.5000 Rh
0.6926 0.1250 0.2500 S
0.0574 0.6250 0.2500 S
0.3750 0.3074 0.7500 S
0.8750 0.9426 0.7500 S
```

=====

Short version: three), two), one), most stable first.